# ZnHgPO4

A relaxed ZnHgPO4 crystal (PBE, Alexandria via LeMat-Bulk).

Lattice parameters (Å, degrees): 5.440 5.440 8.718 91.33 91.33 60.15
Atoms (fractional coordinates):
Zn1 0.283 0.283 0.909
O1 0.434 0.434 0.760
O2 0.131 0.578 0.111
O3 0.566 0.566 0.240
P1 0.403 0.403 0.211
O4 0.663 0.663 0.627
P2 0.597 0.597 0.789
Hg1 0.879 0.879 0.562
Zn2 0.717 0.717 0.091
O5 0.422 0.869 0.889
O6 0.869 0.422 0.889
Hg2 0.121 0.121 0.438
O7 0.578 0.131 0.111
O8 0.337 0.337 0.373

Properties
The crystal system is monoclinic. The theoretical density comes out at 5360 kg/m3. The uncorrected formation energy comes out at -1.618 eV per atom.